Entry 1:
{"formula": "Gd2ZrIn", "functional": "GGA-PBE", "state": "optimized geometry", "lattice": [[4.7870, 0.0000, 0.0000], [0.0000, 4.6857, 0.0000], [0.0000, 0.0000, 4.6857]], "species": ["Gd", "Gd", "In", "Zr"], "fractional_positions": [[0.0000, 0.5000, 0.0000], [0.0000, 0.0000, 0.5000], [0.5000, 0.0000, 0.0000], [0.5000, 0.5000, 0.5000]], "relative_energy_mev_per_atom": 0, "formation_enthalpy_0k_ev_per_atom": -0.19}

***

Entry 2:
{"formula": "GdZr2In", "functional": "GGA-PBE", "state": "optimized geometry", "lattice": [[3.1914, 0.0000, 0.0000], [1.5957, 2.7638, 0.0000], [1.5957, 0.9213, 11.4832]], "species": ["Gd", "In", "Zr", "Zr"], "fractional_positions": [[0.0000, 0.0000, 0.0000], [0.5000, 0.5000, 0.5000], [0.9084, 0.9084, 0.2749], [0.0916, 0.0916, 0.7251]], "relative_energy_mev_per_atom": 357, "formation_enthalpy_0k_ev_per_atom": 0.18}

***

Entry 3:
{"formula": "Gd2ZrIn", "functional": "GGA-PBE", "state": "optimized geometry", "lattice": [[5.3781, 0.0000, 0.0000], [2.6890, 4.6576, 0.0000], [2.6890, 1.5525, 4.3912]], "species": ["Gd", "Gd", "In", "Zr"], "fractional_positions": [[0.7500, 0.7500, 0.7500], [0.2500, 0.2500, 0.2500], [0.5000, 0.5000, 0.5000], [0.0000, 0.0000, 0.0000]], "relative_energy_mev_per_atom": 103, "formation_enthalpy_0k_ev_per_atom": -0.09}

***

Entry 4:
{"formula": "GdZr2In", "functional": "GGA-PBE", "state": "optimized geometry", "lattice": [[-4.0253, 1.3363, 1.6054], [-1.8929, -3.9440, -1.4632], [0.9651, -1.9689, 4.0585]], "species": ["Gd", "Zr", "Zr", "In"], "fractional_positions": [[0.5000, 0.0000, 0.0000], [0.0000, 0.5000, 0.0000], [0.0000, 0.0000, 0.5000], [0.5000, 0.5000, 0.5000]], "relative_energy_mev_per_atom": 0, "formation_enthalpy_0k_ev_per_atom": -0.17}

***

Entry 5:
{"formula": "GdIr3", "functional": "GGA-PBE", "state": "optimized geometry", "lattice": [[8.9247, -2.6661, 0.0043], [8.9247, 2.6661, 0.0043], [8.1260, 0.0000, 4.5525]], "species": ["Gd", "Gd", "Gd", "Ir", "Ir", "Ir", "Ir", "Ir", "Ir", "Ir", "Ir", "Ir"], "fractional_positions": [[0.1394, 0.1394, 0.1394], [0.0000, 0.0000, 0.0000], [0.8606, 0.8606, 0.8606], [0.5812, 0.0829, 0.5812], [0.5812, 0.5812, 0.0829], [0.4188, 0.4188, 0.9171], [0.3325, 0.3325, 0.3325], [0.9171, 0.4188, 0.4188], [0.4188, 0.9171, 0.4188], [0.0829, 0.5812, 0.5812], [0.5000, 0.5000, 0.5000], [0.6675, 0.6675, 0.6675]], "relative_energy_mev_per_atom": 0, "formation_enthalpy_0k_ev_per_atom": -0.56}

***

Entry 6:
{"formula": "GdIr3", "functional": "GGA-PBE", "state": "optimized geometry", "lattice": [[-3.8111, 0.4602, -1.3677], [-0.7828, -3.9040, 0.8675], [-1.2123, 1.0740, 3.7394]], "species": ["Ir", "Ir", "Ir", "Gd"], "fractional_positions": [[0.5000, 0.5000, 0.0000], [0.5000, 0.0000, 0.5000], [0.0000, 0.5000, 0.5000], [0.0000, 0.0000, 0.0000]], "relative_energy_mev_per_atom": 225, "formation_enthalpy_0k_ev_per_atom": -0.34}

***

Entry 7:
{"formula": "KGd3Ir", "functional": "GGA-PBE", "state": "optimized geometry", "lattice": [[5.6015, 0.0000, 0.0000], [0.0000, 5.6015, 0.0000], [0.0000, 0.0000, 5.6015]], "species": ["K", "Gd", "Gd", "Gd", "Ir"], "fractional_positions": [[0.5000, 0.5000, 0.5000], [0.0000, 0.0000, 0.5000], [0.0000, 0.5000, 0.0000], [0.5000, 0.0000, 0.0000], [0.0000, 0.0000, 0.0000]], "formation_enthalpy_0k_ev_per_atom": -0.18}

***

Entry 8:
{"formula": "LaGd2Ir", "functional": "GGA-PBE", "state": "optimized geometry", "lattice": [[-0.0277, 3.5091, 0.4936], [-0.8807, 0.4713, -3.4000], [-8.7380, -0.3798, 2.2108]], "species": ["Gd", "Gd", "La", "Ir"], "fractional_positions": [[0.0000, 0.0000, 0.8202], [0.0000, 0.0000, 0.1798], [0.5000, 0.5000, 0.5000], [0.5000, 0.5000, 0.0000]], "relative_energy_mev_per_atom": 0, "formation_enthalpy_0k_ev_per_atom": -0.38}

***

Entry 9:
{"formula": "La3GdIr", "functional": "GGA-PBE", "state": "optimized geometry", "lattice": [[-4.7342, 2.9920, -1.0418], [-2.2574, -1.8714, 4.8838], [2.2229, 4.4717, 2.7410]], "species": ["Ir", "Gd", "La", "La", "La"], "fractional_positions": [[0.0000, 0.0000, 0.0000], [0.5000, 0.5000, 0.5000], [0.5000, 0.0000, 0.0000], [0.0000, 0.5000, 0.0000], [0.0000, 0.0000, 0.5000]], "formation_enthalpy_0k_ev_per_atom": -0.24}

***

Entry 10:
{"formula": "LaGdIr", "functional": "GGA-PBE", "state": "optimized geometry", "lattice": [[-3.4397, 1.7807, -3.0598], [-3.5884, -2.9520, -1.6655], [-4.6344, 0.6125, 1.5848]], "species": ["Gd", "Ir", "La"], "fractional_positions": [[0.0000, 0.0000, 0.0000], [0.2500, 0.2500, 0.2500], [0.5000, 0.5000, 0.5000]], "relative_energy_mev_per_atom": 0, "formation_enthalpy_0k_ev_per_atom": -0.59}

***

Entry 11:
{"formula": "LaGd2Ir", "functional": "GGA-PBE", "state": "optimized geometry", "lattice": [[4.1264, 0.0000, 0.0000], [2.0632, 3.5736, 0.0000], [2.0632, 1.1912, 8.4545]], "species": ["Ir", "Gd", "Gd", "La"], "fractional_positions": [[0.0000, 0.0000, 0.0000], [0.2778, 0.2778, 0.1665], [0.7222, 0.7222, 0.8335], [0.5000, 0.5000, 0.5000]], "relative_energy_mev_per_atom": 84, "formation_enthalpy_0k_ev_per_atom": -0.30}

***

Entry 12:
{"formula": "LaGd3Ir", "functional": "GGA-PBE", "state": "optimized geometry", "lattice": [[5.5124, 0.0000, 0.0000], [0.0000, 5.5124, 0.0000], [0.0000, 0.0000, 5.5124]], "species": ["Ir", "La", "Gd", "Gd", "Gd"], "fractional_positions": [[0.0000, 0.0000, 0.0000], [0.5000, 0.5000, 0.5000], [0.0000, 0.5000, 0.0000], [0.0000, 0.0000, 0.5000], [0.5000, 0.0000, 0.0000]], "formation_enthalpy_0k_ev_per_atom": -0.29}

***

Entry 13:
{"formula": "LaGdIr2", "functional": "GGA-PBE", "state": "optimized geometry", "lattice": [[-0.6216, 4.3048, 2.4552], [-2.8766, 0.1551, 4.0800], [2.0775, 0.6321, 4.4978]], "species": ["La", "Gd", "Ir", "Ir"], "fractional_positions": [[0.0000, 0.0000, 0.0000], [0.5000, 0.5000, 0.5000], [0.2500, 0.2500, 0.2500], [0.7500, 0.7500, 0.7500]], "relative_energy_mev_per_atom": 2, "formation_enthalpy_0k_ev_per_atom": -0.63}

***

Entry 14:
{"formula": "LaGdIr4", "functional": "GGA-PBE", "state": "optimized geometry", "lattice": [[5.4301, 0.0000, 0.0000], [2.7150, 4.7026, 0.0000], [2.7150, 1.5675, 4.4336]], "species": ["Ir", "Ir", "Ir", "Ir", "Gd", "La"], "fractional_positions": [[0.1256, 0.6248, 0.6248], [0.6248, 0.6248, 0.6248], [0.6248, 0.1256, 0.6248], [0.6248, 0.6248, 0.1256], [0.2500, 0.2500, 0.2500], [0.0000, 0.0000, 0.0000]], "formation_enthalpy_0k_ev_per_atom": -0.74}

***

Entry 15:
{"formula": "LaGdIr", "functional": "GGA-PBE", "state": "optimized geometry", "lattice": [[3.5750, 0.0000, 0.0000], [0.0000, 3.5750, 0.0000], [-1.7875, -1.7875, 6.6233]], "species": ["Gd", "La", "Ir"], "fractional_positions": [[0.0446, 0.0446, 0.0892], [0.2928, 0.2928, 0.5856], [0.6626, 0.6626, 0.3252]], "relative_energy_mev_per_atom": 95, "formation_enthalpy_0k_ev_per_atom": -0.49}

***

no.,DOS(E_F) (states/eV/atom),ρ (g/cm3),total energy (eV per atom)
1,1.125,8.2,-10.052
2,1.442,7.5,-8.296
3,1.016,7.9,-9.949
4,0.930,7.8,-8.653
5,1.143,16.9,-10.727
6,1.186,18.0,-10.501
7,1.910,6.6,-10.618
8,1.246,9.5,-10.872
9,1.981,6.9,-7.782
10,1.077,9.5,-9.878
11,1.105,8.6,-10.787
12,1.351,8.0,-11.499
13,0.770,12.8,-9.812
14,0.724,15.6,-9.814
15,1.067,9.6,-9.783